DFT (GGA-PBE) results for an optimized crystal structure of CeTaNi.

Calculated values
Crystal system: monoclinic
E_form, eV per atom: -0.04
Final energy, eV for the cell shown: -47.37
D(E_F), states/eV/f.u.: 4.79
Symmetry: C2/m (12)

abc: 4.1216 4.1216 7.2747
angles: 103.75 103.75 89.48
With the nearest neighbours (Å) after each atom.
Fractional coordinates of all 6 atoms:
1 Ni 0.9050 0.9050 0.7691  1 Ce 2.59, 4 Ta 2.60
2 Ni 0.0950 0.0950 0.2309  1 Ce 2.59, 4 Ta 2.60
3 Ce 0.3234 0.3234 0.6032  1 Ni 2.59
4 Ce 0.6766 0.6766 0.3968  1 Ni 2.59
5 Ta 0.5000 0.0000 0.0000  4 Ni 2.60, 2 Ta 2.90
6 Ta 0.0000 0.5000 0.0000  4 Ni 2.60, 2 Ta 2.90



DFT (GGA-PBE) results for an optimized crystal structure of CeTaNi4.

Calculated values
Crystal system: cubic
E_form, eV per atom: -0.15
Final energy, eV for the cell shown: -41.81
D(E_F), states/eV/f.u.: 10.92
Symmetry: F-43m (216)

abc: 4.9548 4.9548 4.9548
angles: 60.00 60.00 60.00
With the nearest neighbours (Å) after each atom.
Fractional coordinates of all 6 atoms:
1 Ni 0.6261 0.6261 0.1217  6 Ni 2.46-2.50
2 Ni 0.6261 0.1217 0.6261  6 Ni 2.46-2.50
3 Ni 0.6261 0.6261 0.6261  6 Ni 2.46-2.50
4 Ni 0.1217 0.6261 0.6261  6 Ni 2.46-2.50
5 Ce 0.2500 0.2500 0.2500  12 Ni 2.91, 4 Ta 3.03
6 Ta 0.0000 0.0000 0.0000  12 Ni 2.90, 4 Ce 3.03



DFT (GGA-PBE) results for an optimized crystal structure of Ce2TaNi.

Calculated values
Crystal system: trigonal
E_form, eV per atom: 0.36
Final energy, eV for the cell shown: -28.05
D(E_F), states/eV/f.u.: 7.11
Symmetry: R-3m (166)

abc: 2.9757 2.9757 10.5965
angles: 81.93 81.93 60.00
With the nearest neighbours (Å) after each atom.
Fractional coordinates of all 4 atoms:
1 Ni 0.5000 0.5000 0.5000  6 Ce 2.90, 6 Ni 2.98
2 Ce 0.0923 0.0923 0.7231  1 Ta 2.90, 3 Ni 2.90, 6 Ce 2.98
3 Ce 0.9077 0.9077 0.2769  1 Ta 2.90, 3 Ni 2.90, 6 Ce 2.98
4 Ta 0.0000 0.0000 0.0000  2 Ce 2.90, 6 Ta 2.98



DFT (GGA-PBE) results for an optimized crystal structure of TbCeNi2.

Calculated values
Crystal system: tetragonal
E_form, eV per atom: -0.30
Final energy, eV for the cell shown: -23.33
D(E_F), states/eV/f.u.: 5.68
Symmetry: P4/mmm (123)

abc: 3.3821 4.8242 4.8242
angles: 90.00 90.00 90.00
With the nearest neighbours (Å) after each atom.
Fractional coordinates of all 4 atoms:
1 Ni 0.0000 0.0000 0.5000  4 Ce 2.95, 4 Tb 2.95
2 Ni 0.0000 0.5000 0.0000  4 Tb 2.95, 4 Ce 2.95
3 Tb 0.5000 0.5000 0.5000  8 Ni 2.95
4 Ce 0.5000 0.0000 0.0000  8 Ni 2.95



DFT (GGA-PBE) results for an optimized crystal structure of TbCeNi2.

Calculated values
Crystal system: monoclinic
E_form, eV per atom: -0.38
Final energy, eV for the cell shown: -23.66
D(E_F), states/eV/f.u.: 5.38
Symmetry: Pm (6)

abc: 3.6074 4.3223 5.4899
angles: 90.00 109.01 90.00
With the nearest neighbours (Å) after each atom.
Fractional coordinates of all 4 atoms:
1 Tb 0.4442 0.5000 0.4262  7 Ni 2.89-2.92
2 Ce 0.7141 0.0000 0.9683  7 Ni 2.80-3.04
3 Ni 0.1644 0.5000 0.8693  2 Ni 2.71, 4 Ce 2.86, 3 Tb 2.89-2.92
4 Ni 0.0083 0.0000 0.5542  2 Ni 2.71, 2 Ce 2.80-2.81, 4 Tb 2.89



DFT (GGA-PBE) results for an optimized crystal structure of Tb3CeNi8.

Calculated values
Crystal system: trigonal
E_form, eV per atom: -0.41
Final energy, eV for the cell shown: -71.05
D(E_F), states/eV/f.u.: 7.11
Symmetry: R3m (160)

abc: 5.0821 5.0821 8.7965
angles: 73.21 73.21 60.00
With the nearest neighbours (Å) after each atom.
Fractional coordinates of all 12 atoms:
1 Tb 0.3754 0.3754 0.8737  12 Ni 2.97-2.98, 4 Tb 3.11-3.12
2 Tb 0.9998 0.9998 0.0005  12 Ni 2.97-2.98, 3 Tb 3.12, 1 Ce 3.13
3 Tb 0.5002 0.5002 0.4992  12 Ni 2.98, 3 Ce 3.10, 1 Tb 3.11
4 Ce 0.8739 0.8739 0.3783  12 Ni 2.96-3.00, 4 Tb 3.10-3.13
5 Ni 0.9380 0.4375 0.1869  6 Ni 2.54
6 Ni 0.4365 0.9379 0.6878  6 Ni 2.53-2.55
7 Ni 0.4375 0.4375 0.1869  6 Ni 2.54
8 Ni 0.9379 0.9379 0.6878  6 Ni 2.53-2.55
9 Ni 0.1877 0.1877 0.4369  6 Ni 2.54
10 Ni 0.6875 0.6875 0.9374  6 Ni 2.54
11 Ni 0.4375 0.9380 0.1869  6 Ni 2.54
12 Ni 0.9379 0.4365 0.6878  6 Ni 2.53-2.55



DFT (GGA-PBE) results for an optimized crystal structure of Tb2Ce2Ni15.

Calculated values
Crystal system: trigonal
E_form, eV per atom: -0.27
Final energy, eV for the cell shown: -112.97
D(E_F), states/eV/f.u.: 25.41
Symmetry: R-3m (166)

abc: 6.4781 6.4781 6.4781
angles: 82.03 82.03 82.03
With the nearest neighbours (Å) after each atom.
Fractional coordinates of all 19 atoms:
1 Tb 0.3619 0.3619 0.3619  12 Ni 2.91-3.02, 1 Ce 3.22
2 Tb 0.6381 0.6381 0.6381  12 Ni 2.91-3.02, 1 Ce 3.22
3 Ce 0.1083 0.1083 0.1083  6 Ni 2.56-2.66, 1 Ce 2.75
4 Ce 0.8917 0.8917 0.8917  6 Ni 2.56-2.66, 1 Ce 2.75
5 Ni 0.5000 0.0000 0.0000  8 Ni 2.49-2.51, 2 Ce 2.56
6 Ni 0.0000 0.0000 0.5000  8 Ni 2.49-2.51, 2 Ce 2.56
7 Ni 0.0000 0.5000 0.0000  8 Ni 2.49-2.51, 2 Ce 2.56
8 Ni 0.0000 0.6816 0.3184  8 Ni 2.51-2.71
9 Ni 0.6816 0.3184 0.0000  8 Ni 2.51-2.71
10 Ni 0.3184 0.0000 0.6816  8 Ni 2.51-2.71
11 Ni 0.3184 0.6816 0.0000  8 Ni 2.51-2.71
12 Ni 0.6816 0.0000 0.3184  8 Ni 2.51-2.71
13 Ni 0.0000 0.3184 0.6816  8 Ni 2.51-2.71
14 Ni 0.1682 0.6548 0.6548  8 Ni 2.40-2.60, 1 Ce 2.66
15 Ni 0.6548 0.6548 0.1682  8 Ni 2.40-2.60, 1 Ce 2.66
16 Ni 0.6548 0.1682 0.6548  8 Ni 2.40-2.60, 1 Ce 2.66
17 Ni 0.8318 0.3452 0.3452  8 Ni 2.40-2.60, 1 Ce 2.66
18 Ni 0.3452 0.3452 0.8318  8 Ni 2.40-2.60, 1 Ce 2.66
19 Ni 0.3452 0.8318 0.3452  8 Ni 2.40-2.60, 1 Ce 2.66



DFT (GGA-PBE) results for an optimized crystal structure of TbCeNi2.

Calculated values
Crystal system: trigonal
E_form, eV per atom: -0.24
Final energy, eV for the cell shown: -23.10
D(E_F), states/eV/f.u.: 2.53
Symmetry: R-3m (166)

abc: 3.8924 3.8924 6.9235
angles: 73.67 73.67 60.00
With the nearest neighbours (Å) after each atom.
Fractional coordinates of all 4 atoms:
1 Ni 0.7461 0.7461 0.7616  3 Ce 2.74, 3 Tb 2.83
2 Ni 0.2539 0.2539 0.2384  3 Ce 2.74, 3 Tb 2.83
3 Tb 0.5000 0.5000 0.5000  6 Ni 2.83
4 Ce 0.0000 0.0000 0.0000  6 Ni 2.74



DFT (GGA-PBE) results for an optimized crystal structure of TbCeZnNi.

Calculated values
Crystal system: cubic
E_form, eV per atom: -0.24
Final energy, eV for the cell shown: -18.57
D(E_F), states/eV/f.u.: 5.61
Symmetry: F-43m (216)

abc: 4.9661 4.9661 4.9661
angles: 60.00 60.00 60.00
With the nearest neighbours (Å) after each atom.
Fractional coordinates of all 4 atoms:
1 Ni 0.7500 0.7500 0.7500  4 Ce 3.04, 4 Tb 3.04
2 Zn 0.2500 0.2500 0.2500  4 Tb 3.04, 4 Ce 3.04
3 Tb 0.0000 0.0000 0.0000  4 Ni 3.04, 4 Zn 3.04
4 Ce 0.5000 0.5000 0.5000  4 Zn 3.04, 4 Ni 3.04



DFT (GGA-PBE) results for an optimized crystal structure of CeTcNi.

Calculated values
Relative energy among the computed polymorphs, meV/atom: 275
Crystal system: hexagonal
E_form, eV per atom: 0.02
Final energy, eV for the cell shown: -22.02
D(E_F), states/eV/f.u.: 6.77
Symmetry: P-6m2 (187)

abc: 3.9577 4.1168 4.1168
angles: 120.00 90.00 90.00
With the nearest neighbours (Å) after each atom.
Fractional coordinates of all 3 atoms:
1 Ni 0.1667 0.0000 0.0000  3 Tc 2.38
2 Tc 0.1666 0.6667 0.3333  3 Ni 2.38
3 Ce 0.6667 0.3333 0.6667  6 Tc 3.09, 6 Ni 3.09



DFT (GGA-PBE) results for an optimized crystal structure of Ce2TcNi.

Calculated values
Crystal system: tetragonal
E_form, eV per atom: -0.14
Final energy, eV for the cell shown: -28.58
D(E_F), states/eV/f.u.: 6.58
Symmetry: P4/mmm (123)

abc: 3.3936 3.3936 7.0303
angles: 90.00 90.00 90.00
With the nearest neighbours (Å) after each atom.
Fractional coordinates of all 4 atoms:
1 Ni 0.5000 0.5000 0.0000  8 Ce 2.97
2 Tc 0.5000 0.5000 0.5000  8 Ce 2.98
3 Ce 0.0000 0.0000 0.7504  4 Ni 2.97, 4 Tc 2.98
4 Ce 0.0000 0.0000 0.2496  4 Ni 2.97, 4 Tc 2.98



DFT (GGA-PBE) results for an optimized crystal structure of CeTcNi.

Calculated values
Relative energy among the computed polymorphs, meV/atom: 106
Crystal system: tetragonal
E_form, eV per atom: -0.15
Final energy, eV for the cell shown: -45.05
D(E_F), states/eV/f.u.: 4.55
Symmetry: I4/mmm (139)

abc: 4.3638 4.3638 6.5412
angles: 109.47 109.52 89.97
With the nearest neighbours (Å) after each atom.
Fractional coordinates of all 6 atoms:
1 Ce 0.1597 0.6593 0.8190  1 Ni 2.61, 4 Tc 2.85
2 Ce 0.8403 0.3407 0.1810  1 Ni 2.61, 4 Tc 2.85
3 Tc 0.0000 0.0000 0.5000  4 Ni 2.55
4 Tc 0.5000 0.5000 0.5000  4 Ni 2.55
5 Ni 0.3855 0.8863 0.2718  4 Tc 2.55, 1 Ce 2.61, 1 Ni 2.63
6 Ni 0.6145 0.1137 0.7282  4 Tc 2.55, 1 Ce 2.61, 1 Ni 2.63